Below is a relaxed MgMn6Nb4O18 crystal, with properties calculated at the PBE with a Hubbard U level.

Cell: 5.3781 5.4417 15.5546 Å, 95.98 93.23 118.21°
Fractional coordinates of all 29 atoms:
Mg 0.0000 0.0000 0.0000
Mn 0.0929 0.4695 0.5835
Mn 0.3301 0.6536 0.0632
Mn 0.4630 0.5603 0.2866
Mn 0.7365 0.2196 0.1741
Mn 0.7478 0.7892 0.5757
Mn 0.8561 0.8777 0.7795
Nb 0.0937 0.8602 0.2504
Nb 0.3686 0.0750 0.4565
Nb 0.4509 0.1757 0.7143
Nb 0.6499 0.3071 0.9206
O 0.0645 0.0906 0.5053
O 0.0995 0.8345 0.6628
O 0.1364 0.5175 0.1803
O 0.2606 0.2161 0.3391
O 0.2899 0.0757 0.8253
O 0.3039 0.0452 0.1617
O 0.3161 0.7954 0.3462
O 0.3805 0.3229 0.9973
O 0.3926 0.8003 0.5167
O 0.4374 0.4683 0.6616
O 0.7063 0.4004 0.5047
O 0.7102 0.0226 0.0662
O 0.7396 0.8843 0.2345
O 0.7432 0.4905 0.8161
O 0.7450 0.0955 0.6834
O 0.7637 0.0288 0.8979
O 0.7638 0.4723 0.2754
O 0.9790 0.6260 0.9872

Computed properties:
calculated density = 4.25 g/cm3
energy relative to the lowest polymorph listed for this composition = 0 meV/atom